Here is a relaxed Y2BeZnIr2 crystal from Alexandria. Energies are from PBE-GGA.

Output
Space group: No. 72
Energy relative to the elements, eV/atom: -0.64
Mass density, Mg/m³: 9.55
Total energy, eV per atom: -6.5818

Cell lengths 5.774, 5.717, 7.839 Å; angles 111.38, 111.61, 90.00 degrees
Sites, in units of the cell vectors:
1 Y 0.061 0.330 0.660
2 Y 0.400 0.170 0.340
3 Y 0.939 0.670 0.340
4 Y 0.600 0.830 0.660
5 Ir 0.818 0.108 0.215
6 Ir 0.397 0.608 0.215
7 Ir 0.603 0.392 0.785
8 Ir 0.182 0.892 0.785
9 Be 0.500 0.250 0.000
10 Be 0.500 0.750 0.000
11 Zn 0.000 0.750 0.000
12 Zn 0.000 0.250 0.000